# 1
The following is a DFT calculation (PBE) of a relaxed structure of Ac3Tl3RuO8.

a = 7.392 Å, b = 7.392 Å, c = 7.768 Å
α = 118.41°, β = 90.01°, γ = 119.99°
Atoms (fractional coordinates):
O 0.729 0.458 0.687
O 0.229 0.031 0.333
O 0.802 0.031 0.333
O 0.198 0.969 0.667
O 0.271 0.542 0.313
O 0.771 0.969 0.667
O 0.802 0.604 0.333
O 0.198 0.396 0.667
Ac 0.500 0.500 0.500
Ac 0.500 0.000 0.500
Ac 0.000 0.500 0.500
Ru 0.000 0.000 0.500
Tl 0.000 0.000 0.000
Tl 0.500 0.500 0.000
Tl 0.000 0.500 0.000

Values from the calculation:
Symmetry: R-3m
Raw formation energy, kJ/mol of atoms: -178
M_tot, μB per formula unit: 2.0
Volume, Å³/cell: 307.21

=====

# 2
The following is a DFT calculation (PBE) of a relaxed structure of AcTlRuO6.

a = 5.614 Å, b = 5.613 Å, c = 5.187 Å
α = 89.99°, β = 89.99°, γ = 60.00°
Atoms (fractional coordinates):
Tl 0.667 0.667 0.500
O 0.343 0.612 0.285
O 0.612 0.343 0.715
O 0.045 0.343 0.284
O 0.612 0.045 0.285
O 0.343 0.045 0.715
O 0.045 0.612 0.715
Ac 0.000 0.000 0.000
Ru 0.333 0.333 0.500

Values from the calculation:
Symmetry: P312
Raw formation energy, kJ/mol of atoms: -140
M_tot, μB per formula unit: 2.0
Volume, Å³/cell: 141.56

=====

# 3
The following is a DFT calculation (PBE) of a relaxed structure of AcTl2RuO8.

a = 4.963 Å, b = 5.345 Å, c = 7.005 Å
α = 81.79°, β = 88.40°, γ = 92.06°
Atoms (fractional coordinates):
O 0.679 0.768 0.991
O 0.831 0.177 0.172
O 0.169 0.823 0.828
O 0.321 0.232 0.009
O 0.414 0.260 0.474
O 0.883 0.225 0.780
O 0.117 0.775 0.220
O 0.586 0.740 0.526
Tl 0.518 0.549 0.246
Tl 0.482 0.451 0.754
Ru 0.000 0.000 0.000
Ac 0.000 0.000 0.500

Values from the calculation:
Symmetry: P-1
Raw formation energy, kJ/mol of atoms: -108
M_tot, μB per formula unit: 1.0
Volume, Å³/cell: 183.70

=====

# 4
The following is a DFT calculation (PBE) of a relaxed structure of Ac6Tl2RuO.

a = 7.911 Å, b = 7.909 Å, c = 11.172 Å
α = 90.00°, β = 90.00°, γ = 90.00°
Atoms (fractional coordinates):
Ac 0.244 0.507 0.000
Ac 0.756 0.994 0.000
Ac 0.000 0.750 0.242
Ac 0.256 0.006 0.500
Ac 0.000 0.750 0.758
Ac 0.744 0.493 0.500
Ac 0.500 0.250 0.742
Ac 0.256 0.493 0.500
Ac 0.756 0.507 0.000
Ac 0.244 0.994 0.000
Ac 0.500 0.250 0.258
Ac 0.744 0.006 0.500
Ru 0.000 0.749 0.500
Ru 0.500 0.251 0.000
Tl 0.500 0.750 0.750
Tl 0.500 0.750 0.250
Tl 0.000 0.250 0.750
Tl 0.000 0.250 0.250
O 0.500 0.248 0.500
O 0.000 0.752 0.000

Values from the calculation:
Symmetry: Pmmn
Raw formation energy, kJ/mol of atoms: -60
M_tot, μB per formula unit: 0.0
Volume, Å³/cell: 699.02

=====

# 5
The following is a DFT calculation (PBE) of a relaxed structure of Ac2Tl3RuO6.

a = 6.180 Å, b = 6.180 Å, c = 7.631 Å
α = 102.10°, β = 102.10°, γ = 118.13°
Atoms (fractional coordinates):
Tl 0.154 0.846 0.500
Tl 0.846 0.154 0.500
Tl 0.500 0.500 0.500
O 0.922 0.639 0.849
O 0.639 0.922 0.849
O 0.078 0.361 0.151
O 0.186 0.186 0.832
O 0.361 0.078 0.151
O 0.814 0.814 0.168
Ac 0.667 0.333 0.000
Ac 0.333 0.667 0.000
Ru 0.000 0.000 0.000

Values from the calculation:
Symmetry: C2/m
Raw formation energy, kJ/mol of atoms: -154
M_tot, μB per formula unit: 2.3
Volume, Å³/cell: 234.67

=====

# 6
The following is a DFT calculation (PBE) of a relaxed structure of AcTmRuO6.

a = 5.499 Å, b = 5.499 Å, c = 5.289 Å
α = 90.00°, β = 90.00°, γ = 60.00°
Atoms (fractional coordinates):
O 0.035 0.618 0.711
O 0.035 0.347 0.289
O 0.618 0.347 0.711
O 0.618 0.035 0.289
O 0.347 0.036 0.711
O 0.347 0.618 0.289
Ac 0.000 0.000 0.000
Tm 0.667 0.667 0.500
Ru 0.333 0.333 0.500

Values from the calculation:
Symmetry: P312
Raw formation energy, kJ/mol of atoms: -223
M_tot, μB per formula unit: 2.0
Volume, Å³/cell: 138.51

=====

> What is the M_tot in the sixth record?

2.0 μB per formula unit

=====

Copy entry 6 word for word.
The following is a DFT calculation (PBE) of a relaxed structure of AcTmRuO6.

a = 5.499 Å, b = 5.499 Å, c = 5.289 Å
α = 90.00°, β = 90.00°, γ = 60.00°
Atoms (fractional coordinates):
O 0.035 0.618 0.711
O 0.035 0.347 0.289
O 0.618 0.347 0.711
O 0.618 0.035 0.289
O 0.347 0.036 0.711
O 0.347 0.618 0.289
Ac 0.000 0.000 0.000
Tm 0.667 0.667 0.500
Ru 0.333 0.333 0.500

Values from the calculation:
Symmetry: P312
Raw formation energy, kJ/mol of atoms: -223
M_tot, μB per formula unit: 2.0
Volume, Å³/cell: 138.51

=====

> Which value of raw formation energy does entry 6 give?

-223 kJ/mol of atoms